(1)
The following is a DFT calculation (PBE) of an optimized crystal structure of Hg12Ge3As5.

Values from the calculation:
As for the space-group type: No. 230.

a = 14.0471 Å, b = 14.0471 Å, c = 14.0471 Å
α = 109.47°, β = 109.47°, γ = 109.47°
Fractional positions:
Hg (0.0559, 0.2328, 0.1241)
Hg (0.0559, 0.3231, 0.9318)
Hg (0.0682, 0.6241, 0.3913)
Hg (0.0682, 0.9441, 0.6769)
Hg (0.1087, 0.7328, 0.6769)
Hg (0.1087, 0.8759, 0.4318)
Hg (0.1241, 0.0559, 0.2328)
Hg (0.1241, 0.5682, 0.8913)
Hg (0.1769, 0.2328, 0.6087)
Hg (0.1769, 0.4441, 0.5682)
Hg (0.2328, 0.1241, 0.0559)
Hg (0.2328, 0.6087, 0.1769)
Hg (0.2672, 0.3231, 0.8913)
Hg (0.2672, 0.4441, 0.3759)
Hg (0.3231, 0.8913, 0.2672)
Hg (0.3231, 0.9318, 0.0559)
Hg (0.3759, 0.2672, 0.4441)
Hg (0.3759, 0.6087, 0.9318)
Hg (0.3913, 0.0682, 0.6241)
Hg (0.3913, 0.8231, 0.7672)
Hg (0.4318, 0.1087, 0.8759)
Hg (0.4318, 0.8231, 0.5559)
Hg (0.4441, 0.3759, 0.2672)
Hg (0.4441, 0.5682, 0.1769)
Hg (0.5559, 0.4318, 0.8231)
Hg (0.5559, 0.6241, 0.7328)
Hg (0.5682, 0.1769, 0.4441)
Hg (0.5682, 0.8913, 0.1241)
Hg (0.6087, 0.1769, 0.2328)
Hg (0.6087, 0.9318, 0.3759)
Hg (0.6241, 0.3913, 0.0682)
Hg (0.6241, 0.7328, 0.5559)
Hg (0.6769, 0.0682, 0.9441)
Hg (0.6769, 0.1087, 0.7328)
Hg (0.7328, 0.5559, 0.6241)
Hg (0.7328, 0.6769, 0.1087)
Hg (0.7672, 0.3913, 0.8231)
Hg (0.7672, 0.8759, 0.9441)
Hg (0.8231, 0.5559, 0.4318)
Hg (0.8231, 0.7672, 0.3913)
Hg (0.8759, 0.4318, 0.1087)
Hg (0.8759, 0.9441, 0.7672)
Hg (0.8913, 0.1241, 0.5682)
Hg (0.8913, 0.2672, 0.3231)
Hg (0.9318, 0.0559, 0.3231)
Hg (0.9318, 0.3759, 0.6087)
Hg (0.9441, 0.6769, 0.0682)
Hg (0.9441, 0.7672, 0.8759)
Ge (0.1250, 0.2500, 0.3750)
Ge (0.1250, 0.3750, 0.7500)
Ge (0.2500, 0.3750, 0.1250)
Ge (0.2500, 0.8750, 0.6250)
Ge (0.3750, 0.1250, 0.2500)
Ge (0.3750, 0.7500, 0.1250)
Ge (0.6250, 0.2500, 0.8750)
Ge (0.6250, 0.8750, 0.7500)
Ge (0.7500, 0.1250, 0.3750)
Ge (0.7500, 0.6250, 0.8750)
Ge (0.8750, 0.6250, 0.2500)
Ge (0.8750, 0.7500, 0.6250)
As (0.0000, 0.0000, 0.0000)
As (0.0000, 0.0000, 0.5000)
As (0.0000, 0.5000, 0.0000)
As (0.0000, 0.5000, 0.5000)
As (0.1250, 0.7500, 0.8750)
As (0.1250, 0.8750, 0.2500)
As (0.2500, 0.1250, 0.8750)
As (0.2500, 0.6250, 0.3750)
As (0.3750, 0.2500, 0.6250)
As (0.3750, 0.6250, 0.7500)
As (0.5000, 0.0000, 0.0000)
As (0.5000, 0.0000, 0.5000)
As (0.5000, 0.5000, 0.0000)
As (0.5000, 0.5000, 0.5000)
As (0.6250, 0.3750, 0.2500)
As (0.6250, 0.7500, 0.3750)
As (0.7500, 0.3750, 0.6250)
As (0.7500, 0.8750, 0.1250)
As (0.8750, 0.1250, 0.7500)
As (0.8750, 0.2500, 0.1250)

---

(2)
The following is a DFT calculation (PBE) of an optimized crystal structure of La3TmGa2.

Values from the calculation:
The energy above the most stable polymorph in this dataset comes out at 0 meV per atom. As for the space-group type: No. 26.

a = 5.2174 Å, b = 9.8111 Å, c = 6.7133 Å
α = 90.00°, β = 90.00°, γ = 90.00°
Fractional positions:
La (0.0000, 0.0512, 0.0000)
La (0.0000, 0.3363, 0.3280)
La (0.0000, 0.6637, 0.8280)
La (0.0000, 0.9488, 0.5000)
La (0.5000, 0.1783, 0.7081)
La (0.5000, 0.8217, 0.2081)
Tm (0.5000, 0.4434, 0.0308)
Tm (0.5000, 0.5566, 0.5308)
Ga (0.0000, 0.3529, 0.8159)
Ga (0.0000, 0.6471, 0.3159)
Ga (0.5000, 0.1512, 0.2270)
Ga (0.5000, 0.8488, 0.7270)

---

(3)
The following is a DFT calculation (PBE) of an optimized crystal structure of Pr8Sn2Rh.

Values from the calculation:
As for the space-group type: No. 12.

a = 10.2349 Å, b = 10.2349 Å, c = 7.1161 Å
α = 103.26°, β = 103.26°, γ = 28.73°
Fractional positions:
Pr (0.0151, 0.0151, 0.2817)
Pr (0.2150, 0.2150, 0.8226)
Pr (0.3541, 0.3541, 0.4982)
Pr (0.4078, 0.4078, 0.0247)
Pr (0.5922, 0.5922, 0.9753)
Pr (0.6459, 0.6459, 0.5018)
Pr (0.7850, 0.7850, 0.1774)
Pr (0.9849, 0.9849, 0.7183)
Sn (0.1818, 0.1818, 0.2567)
Sn (0.8182, 0.8182, 0.7433)
Rh (0.5000, 0.5000, 0.5000)

---

(4)
The following is a DFT calculation (PBE) of an optimized crystal structure of Sc2Ag2Pt.

Values from the calculation:
The energy above the most stable polymorph in this dataset comes out at 50 meV per atom. As for the space-group type: No. 139.

a = 8.1732 Å, b = 8.1732 Å, c = 8.1732 Å
α = 154.17°, β = 154.17°, γ = 36.85°
Fractional positions:
Sc (0.0923, 0.0923, 0.0000)
Sc (0.9077, 0.9077, 0.0000)
Ag (0.2500, 0.7500, 0.5000)
Ag (0.7500, 0.2500, 0.5000)
Pt (0.5000, 0.5000, 0.0000)

---

Number 1: formation enthalpy at 0 K 21.3 kJ per mole of atoms, final energy -1.81 eV/atom. Number 2: formation enthalpy at 0 K -39.3 kJ per mole of atoms, final energy -4.63 eV/atom. Number 3: formation enthalpy at 0 K -40.4 kJ per mole of atoms, final energy -5.29 eV/atom. Number 4: formation enthalpy at 0 K -27.7 kJ per mole of atoms, final energy -5.17 eV/atom.